1.
Below is crystalline Mo2OsPt2 at its relaxed geometry, with properties calculated at the PBE-GGA level.

Cell lengths 4.580, 4.577, 4.567 Å; angles 72.71, 72.71, 68.50 degrees
Atoms (fractional coordinates):
Mo: 0.679 0.179 0.907
Mo: 0.321 0.821 0.093
Os: 0.000 0.500 0.000
Pt: 0.256 0.244 0.500
Pt: 0.744 0.756 0.500

Computed properties:
As for the formation energy from the elements: 207 meV/atom. The density is 15.4 g/cm3. Its space group is C2/m. As for the total magnetization: 0.0 μB/cell. The density of states at the Fermi level is 1.10 states/eV per atom. As for the crystal system: monoclinic.

---

2.
Below is crystalline Nd2Si3NiPt12 at its relaxed geometry, with properties calculated at the PBE-GGA level.

Cell lengths 7.743, 7.743, 7.743 Å; angles 63.66, 63.66, 63.66 degrees
Atoms (fractional coordinates):
Nd: 0.621 0.621 0.621
Nd: 0.379 0.379 0.379
Si: 0.500 0.000 0.000
Si: 0.000 0.500 0.000
Si: 0.000 0.000 0.500
Ni: 0.000 0.000 0.000
Pt: 0.358 0.358 0.894
Pt: 0.878 0.878 0.368
Pt: 0.368 0.878 0.878
Pt: 0.894 0.358 0.358
Pt: 0.878 0.368 0.878
Pt: 0.358 0.894 0.358
Pt: 0.642 0.642 0.106
Pt: 0.122 0.122 0.632
Pt: 0.632 0.122 0.122
Pt: 0.106 0.642 0.642
Pt: 0.122 0.632 0.122
Pt: 0.642 0.106 0.642

Computed properties:
The density is 13.0 g/cm3. Its space group is R-3m. As for the total magnetization: 0.0 μB/cell. The value obtained for the uncorrected formation energy is -453 meV/atom. The density of states at the Fermi level is 0.43 states/eV per atom. As for the crystal system: trigonal.

---

3.
Below is crystalline MnCoSbIr at its relaxed geometry, with properties calculated at the PBE-GGA level.

Cell lengths 4.403, 4.403, 4.403 Å; angles 60.00, 60.00, 60.00 degrees
Site moments in Bohr magnetons follow the coordinates.
Atoms (fractional coordinates):
Sb: 0.250 0.250 0.250  0.04
Ir: 0.000 0.000 0.000  0.50
Co: 0.500 0.500 0.500  1.45
Mn: 0.750 0.750 0.750  3.65

Computed properties:
The density is 11.8 g/cm3. Its space group is F-43m. As for the total magnetization: 5.8 μB/cell. The value obtained for the uncorrected formation energy is -31 meV/atom. The density of states at the Fermi level is 0.55 states/eV per atom. As for the crystal system: cubic.

---

4.
Below is crystalline FeHg2Cl at its relaxed geometry, with properties calculated at the PBE-GGA level.

Cell lengths 9.998, 9.998, 9.998 Å; angles 18.99, 18.99, 18.99 degrees
Site moments in Bohr magnetons follow the coordinates.
Atoms (fractional coordinates):
Cl: 0.471 0.471 0.471  0.13
Hg: 0.019 0.019 0.019  -0.01
Hg: 0.255 0.255 0.255  0.00
Fe: 0.756 0.756 0.756  3.06

Computed properties:
For the energy relative to the lowest polymorph listed for this composition, the calculation gives 0.000 kcal/mol of atoms. The density is 8.8 g/cm3. Its space group is R3m. As for the total magnetization: 3.2 μB/cell. The value obtained for the uncorrected formation energy is -36 meV/atom. The density of states at the Fermi level is 0.64 states/eV per atom. As for the crystal system: trigonal.

---

5.
Below is crystalline CaBrNF2 at its relaxed geometry, with properties calculated at the PBE-GGA level.

Cell lengths 4.226, 4.226, 6.546 Å; angles 90.00, 90.00, 90.00 degrees
Site moments in Bohr magnetons follow the coordinates.
Atoms (fractional coordinates):
Ca: 0.000 0.000 0.000  0.00
N: 0.000 0.000 0.500  1.60
Br: 0.500 0.500 0.500  -0.22
F: 0.000 0.500 0.000  -0.01
F: 0.500 0.000 0.000  -0.01

Computed properties:
For the energy relative to the lowest polymorph listed for this composition, the calculation gives 0.000 kcal/mol of atoms. The density is 2.4 g/cm3. Its space group is P4/mmm. As for the total magnetization: 2.0 μB/cell. The value obtained for the uncorrected formation energy is -945 meV/atom. The density of states at the Fermi level is 0.48 states/eV per atom. As for the crystal system: tetragonal.

---

6.
Below is crystalline PaAgAu2 at its relaxed geometry, with properties calculated at the PBE-GGA level.

Cell lengths 4.915, 4.915, 4.917 Å; angles 120.06, 120.06, 89.87 degrees
Atoms (fractional coordinates):
Pa: 0.500 0.000 0.000
Ag: 0.000 0.500 0.000
Au: 0.750 0.750 0.500
Au: 0.250 0.250 0.500

Computed properties:
As for the formation energy from the elements: -282 meV/atom. For the energy relative to the lowest polymorph listed for this composition, the calculation gives 0.000 kcal/mol of atoms. The density is 14.5 g/cm3. Its space group is Fmmm. As for the total magnetization: 0.0 μB/cell. The density of states at the Fermi level is 1.35 states/eV per atom. As for the crystal system: orthorhombic.

---

7.
Below is crystalline ZrMoCl3 at its relaxed geometry, with properties calculated at the PBE-GGA level.

Cell lengths 5.091, 5.091, 5.091 Å; angles 90.00, 90.00, 90.00 degrees
Site moments in Bohr magnetons follow the coordinates.
Atoms (fractional coordinates):
Mo: 0.500 0.500 0.500  4.15
Zr: 0.000 0.000 0.000  -0.14
Cl: 0.000 0.500 0.000  0.03
Cl: 0.000 0.000 0.500  0.03
Cl: 0.500 0.000 0.000  0.02

Computed properties:
For the energy relative to the lowest polymorph listed for this composition, the calculation gives 0.000 kcal/mol of atoms. The density is 3.7 g/cm3. Its space group is Pm-3m. As for the total magnetization: 5.3 μB/cell. The value obtained for the uncorrected formation energy is -62 meV/atom. The density of states at the Fermi level is 0.77 states/eV per atom. As for the crystal system: cubic.

---

8.
Below is crystalline HfZrRh at its relaxed geometry, with properties calculated at the PBE-GGA level.

Cell lengths 5.581, 7.123, 7.123 Å; angles 75.76, 74.79, 74.80 degrees
Atoms (fractional coordinates):
Zr: 0.151 0.678 0.928
Zr: 0.849 0.822 0.572
Zr: 0.849 0.322 0.072
Zr: 0.151 0.178 0.428
Rh: 0.127 0.436 0.686
Rh: 0.127 0.936 0.186
Rh: 0.873 0.564 0.314
Rh: 0.873 0.064 0.814
Hf: 0.625 0.436 0.686
Hf: 0.625 0.936 0.186
Hf: 0.375 0.564 0.314
Hf: 0.375 0.064 0.814

Computed properties:
As for the formation energy from the elements: -299 meV/atom. For the energy relative to the lowest polymorph listed for this composition, the calculation gives 7.010 kcal/mol of atoms. The density is 9.6 g/cm3. Its space group is P2_1/m. As for the total magnetization: 0.0 μB/cell. The density of states at the Fermi level is 1.06 states/eV per atom. As for the crystal system: monoclinic.

---

9.
Below is crystalline Li2Ca2RuO6 at its relaxed geometry, with properties calculated at the PBE-GGA level.

Cell lengths 5.708, 5.708, 5.206 Å; angles 97.20, 97.20, 119.39 degrees
Site moments in Bohr magnetons follow the coordinates.
Atoms (fractional coordinates):
Li: 0.877 0.123 0.000  0.01
Li: 0.123 0.877 0.000  0.01
Ca: 0.337 0.663 0.500  0.01
Ca: 0.663 0.337 0.500  0.01
Ru: 0.000 0.000 0.500  1.31
O: 0.774 0.774 0.730  0.11
O: 0.040 0.328 0.717  0.07
O: 0.226 0.226 0.270  0.11
O: 0.328 0.040 0.717  0.07
O: 0.960 0.672 0.283  0.07
O: 0.672 0.960 0.283  0.07

Computed properties:
The density is 3.4 g/cm3. Its space group is C2/m. As for the total magnetization: 2.0 μB/cell. The value obtained for the uncorrected formation energy is -1905 meV/atom. The density of states at the Fermi level is 0.48 states/eV per atom. As for the crystal system: monoclinic.

---

10.
Below is crystalline La3Tb7Nd2 at its relaxed geometry, with properties calculated at the PBE-GGA level.

Cell lengths 3.640, 5.821, 20.065 Å; angles 103.70, 95.17, 90.01 degrees
Atoms (fractional coordinates):
La: 0.500 0.500 0.000
La: 0.822 0.866 0.641
La: 0.178 0.134 0.359
Tb: 0.271 0.284 0.542
Tb: 0.729 0.716 0.458
Tb: 0.416 0.022 0.829
Tb: 0.000 0.000 0.000
Tb: 0.584 0.978 0.171
Tb: 0.069 0.452 0.141
Tb: 0.931 0.548 0.859
Nd: 0.357 0.427 0.712
Nd: 0.643 0.573 0.288

Computed properties:
As for the formation energy from the elements: 89 meV/atom. The density is 7.3 g/cm3. Its space group is P-1. As for the total magnetization: 0.0 μB/cell. The density of states at the Fermi level is 1.41 states/eV per atom. As for the crystal system: triclinic.